# CaMgRe2 (PBE, optimized geometry)
# Magnetic moment: 0.00 μB per formula unit
# V: 79.4 Å³ per cell
# Energy of formation: 0.212 eV/atom
# N(E_F): 1.8 states/eV per cell
data_CaMgRe2
_chemical_formula_sum 'Ca1 Mg1 Re2'
_space_group_name_H-M_alt 'P 4 m m'
_space_group_IT_number 99
_cell_length_a 3.1584
_cell_length_b 3.1584
_cell_length_c 7.9620
_cell_angle_alpha 90.00
_cell_angle_beta 90.00
_cell_angle_gamma 90.00
loop_
_space_group_symop_operation_xyz
'x,y,z'
'-y,x,z'
'-x,-y,z'
'y,-x,z'
'-x,y,z'
'y,x,z'
'x,-y,z'
'-y,-x,z'
loop_
_atom_site_label
_atom_site_fract_x
_atom_site_fract_y
_atom_site_fract_z
Ca1 0.0000 0.0000 0.0000
Mg1 0.5000 0.5000 0.3361
Re1 0.0000 0.0000 0.5619
Re2 0.5000 0.5000 0.7279